Entry 1:
# CeEuMgAl

Crystalline CeEuMgAl at its relaxed geometry (PBE, Alexandria).

Cell lengths 5.385, 5.385, 5.385 Å; angles 60.00, 60.00, 60.00 degrees
Fractional positions:
Ce1 0.000 0.000 0.000
Eu1 0.500 0.500 0.500
Mg1 0.250 0.250 0.250
Al1 0.750 0.750 0.750

Results
E_form in eV/atom: -0.099
Raw total energy in eV per atom: -5.485



Entry 2:
# CeNdEuAl

Crystalline CeNdEuAl at its relaxed geometry (PBE, Alexandria).

Cell lengths 5.478, 5.478, 5.478 Å; angles 60.00, 60.00, 60.00 degrees
Fractional positions:
Ce1 0.000 0.000 0.000
Nd1 0.500 0.500 0.500
Eu1 0.750 0.750 0.750
Al1 0.250 0.250 0.250

Results
E_form in eV/atom: 0.001
Raw total energy in eV per atom: -6.179